# NaAuSe3, relaxed, DFT GGA-PBE
# SG   P2_1/c
# Calculated volume   609 Å³/cell
# Calculated density   4.979 g cm⁻³
# ΔE_f (raw)   -0.378 eV per atom
data_NaAuSe3
_chemical_formula_sum 'Na4 Au4 Se12'
_symmetry_space_group_name_H-M 'P 1'
_symmetry_Int_Tables_number 1
_symmetry_space_group_name_Hall 'P 1'
_cell_length_a 6.488
_cell_length_b 8.107
_cell_length_c 12.075
_cell_angle_alpha 90.00
_cell_angle_beta 106.38
_cell_angle_gamma 90.00
loop_
_atom_site_label
_atom_site_type_symbol
_atom_site_fract_x
_atom_site_fract_y
_atom_site_fract_z
_atom_site_occupancy
Na1 Na 0.216 0.216 0.429 1
Na2 Na 0.216 0.284 0.929 1
Na3 Na 0.784 0.716 0.071 1
Na4 Na 0.784 0.784 0.571 1
Au1 Au 0.485 0.006 0.757 1
Au2 Au 0.485 0.494 0.257 1
Au3 Au 0.515 0.506 0.743 1
Au4 Au 0.515 0.994 0.243 1
Se1 Se 0.239 0.607 0.075 1
Se2 Se 0.239 0.893 0.575 1
Se3 Se 0.265 0.237 0.188 1
Se4 Se 0.265 0.263 0.688 1
Se5 Se 0.348 0.617 0.545 1
Se6 Se 0.348 0.883 0.045 1
Se7 Se 0.652 0.117 0.955 1
Se8 Se 0.652 0.383 0.455 1
Se9 Se 0.735 0.737 0.312 1
Se10 Se 0.735 0.763 0.812 1
Se11 Se 0.761 0.107 0.425 1
Se12 Se 0.761 0.393 0.925 1